16
Lattice="6.9454 0.0000 0.0000 0.0000 6.9454 0.0000 0.0000 0.0000 5.7981" Properties=species:S:1:pos:R:3 comment="PBE Tc2HgCl, relaxed" final_energy_ev_per_cell=-74.825 e_form_raw_ev_per_atom=1.044 pbc="T T T"
Tc 1.2468 1.7364 0.7248
Tc 1.7364 4.7195 2.1743
Tc 1.7364 5.6986 5.0733
Tc 2.2259 1.7364 3.6238
Tc 4.7195 5.2091 3.6238
Tc 5.2091 1.2468 5.0733
Tc 5.2091 2.2259 2.1743
Tc 5.6986 5.2091 0.7248
Hg 0.0000 0.0000 2.8990
Hg 0.0000 3.4727 4.3486
Hg 3.4727 0.0000 1.4495
Hg 3.4727 3.4727 0.0000
Cl 0.0000 0.0000 0.0000
Cl 0.0000 3.4727 1.4495
Cl 3.4727 0.0000 4.3486
Cl 3.4727 3.4727 2.8990



13
Lattice="10.4368 -3.8951 0.0000 10.4368 3.8951 0.0000 -0.0046 0.0000 5.8693" Properties=species:S:1:pos:R:3 comment="PBE Pr8Nd3Sm2, relaxed" final_energy_ev_per_cell=-59.349 formation_enthalpy_0k_ev_per_atom=0.202 pbc="T T T"
Pr 8.2132 2.2793 5.8675
Pr 3.6230 0.0000 2.9434
Pr 12.6559 2.2793 0.0018
Pr 7.6328 0.0000 2.9391
Pr 13.2363 0.0000 2.9301
Pr 8.2132 -2.2793 5.8675
Pr 17.2461 0.0000 2.9259
Pr 12.6559 -2.2793 0.0018
Nd 10.4345 2.2332 2.9346
Nd 10.4368 0.0000 0.0000
Nd 10.4345 -2.2332 2.9346
Sm 5.3968 0.0000 0.0117
Sm 15.4722 0.0000 5.8576



9
Lattice="6.8464 -4.0388 0.0000 6.8464 4.0388 0.0000 -0.5576 0.0000 6.6085" Properties=species:S:1:pos:R:3 comment="PBE Cs2ThBr4Cl2, relaxed" final_energy_ev_per_cell=-37.045 e_form_raw_ev_per_atom=-1.948 pbc="T T T"
Cs 2.0973 0.0000 1.8767
Cs 11.0379 0.0000 4.7318
Th 6.8464 0.0000 0.0000
Br 5.4353 2.0601 1.4053
Br 7.6999 2.0601 5.2032
Br 5.4353 -2.0601 1.4053
Br 7.6999 -2.0601 5.2032
Cl 4.3438 0.0000 4.7828
Cl 8.7915 0.0000 1.8256



4
Lattice="2.9033 0.0000 0.0000 0.0000 2.9033 0.0000 0.0000 0.0000 8.9734" Properties=species:S:1:pos:R:3 comment="PBE Hg2MoAu, relaxed" final_energy_ev_per_cell=-13.081 formation_enthalpy_0k_ev_per_atom=0.408 pbc="T T T"
Hg 0.0000 0.0000 2.1781
Hg 0.0000 0.0000 6.7952
Mo 1.4516 1.4516 0.0000
Au 1.4516 1.4516 4.4867



Number 1: D(E_F) 18.6 states/eV per cell. Number 2: D(E_F) 19.8 states/eV per cell. Number 3: D(E_F) 0.0 states/eV per cell. Number 4: D(E_F) 1.2 states/eV per cell.